# RbTaCd

A relaxed RbTaCd crystal (PBE, Alexandria via LeMat-Bulk).

The value obtained for the density is 7235 kg/m³. Its formation enthalpy at 0 K is 0.59 eV/atom. The calculation puts the density of states at the Fermi level at 0.523 states/eV per atom. The calculation puts the total energy at -23.94 eV per cell. For the energy relative to the lowest polymorph listed for this composition, the calculation gives 197.1 meV/atom.

The structure belongs to space group P1 (No. 1); the cell edges are 3.0508, 6.5708 and 9.4580 Å and the angles 70.23°, 86.40° and 77.10°. The asymmetric unit holds Rb at (0.0000, 0.0000, 0.0000), Rb at (0.1276, 0.3777, 0.2447), Ta at (0.2252, 0.3639, 0.6233), Ta at (0.8904, 0.0133, 0.6214), Cd at (0.5500, 0.7793, 0.4356) and Cd at (0.5658, 0.5978, 0.8091).